(1)
Entry from Alexandria via LeMat-Bulk: a relaxed TlNi3P crystal (PBE).

Summary:
Distance to the lowest polymorph of the same formula in meV per atom: 0
E in eV/atom: -5.00
Spin magnetization in μB per atom: 0.0000
Formation energy in eV per atom: 0.0249

a b c (Å): 4.2441 4.2441 4.2441
angles (deg): 90.00 90.00 90.00
Last column: nearest neighbours and their distance in Å.
Sites, in units of the cell vectors:
Tl: 0.0000 0.0000 0.0000  12 Ni 3.00
Ni: 0.0000 0.5000 0.5000  2 P 2.12
Ni: 0.5000 0.0000 0.5000  2 P 2.12
Ni: 0.5000 0.5000 0.0000  2 P 2.12
P: 0.5000 0.5000 0.5000  6 Ni 2.12

---

(2)
Entry from Alexandria via LeMat-Bulk: a relaxed Tl2Ni2P crystal (PBE).

Summary:
E in eV/atom: -4.19
Spin magnetization in μB per atom: 0.0000
Formation energy in eV per atom: 0.1556

a b c (Å): 6.1998 6.1998 5.2441
angles (deg): 90.00 90.00 90.00
Last column: nearest neighbours and their distance in Å.
Sites, in units of the cell vectors:
Tl: 0.1719 0.3281 0.0000  2 Ni 2.74, 1 Tl 3.02
Tl: 0.3281 0.8281 0.0000  2 Ni 2.74, 1 Tl 3.02
Tl: 0.6719 0.1719 0.0000  2 Ni 2.74, 1 Tl 3.02
Tl: 0.8281 0.6719 0.0000  2 Ni 2.74, 1 Tl 3.02
Ni: 0.2360 0.7360 0.5000  2 P 2.20
Ni: 0.2640 0.2360 0.5000  2 P 2.20
Ni: 0.7360 0.7640 0.5000  2 P 2.20
Ni: 0.7640 0.2640 0.5000  2 P 2.20
P: 0.0000 0.0000 0.5000  4 Ni 2.20
P: 0.5000 0.5000 0.5000  4 Ni 2.20

---

(3)
Entry from Alexandria via LeMat-Bulk: a relaxed Tl2NiP crystal (PBE).

Summary:
Distance to the lowest polymorph of the same formula in meV per atom: 704
E in eV/atom: -3.42
Spin magnetization in μB per atom: 0.0000
Formation energy in eV per atom: 0.5590

a b c (Å): 4.7219 4.7219 3.9796
angles (deg): 100.33 100.33 99.40
Last column: nearest neighbours and their distance in Å.
Sites, in units of the cell vectors:
Tl: 0.0000 0.5000 0.0000  2 Ni 2.80, 2 P 2.80, 2 Tl 3.05
Tl: 0.5000 0.0000 0.0000  2 Ni 2.80, 2 P 2.80, 2 Tl 3.05
Ni: 0.0000 0.0000 0.5000  4 Tl 2.80, 2 P 3.05
P: 0.5000 0.5000 0.5000  4 Tl 2.80, 2 Ni 3.05

---

(4)
Entry from Alexandria via LeMat-Bulk: a relaxed TlNi3P crystal (PBE).

Summary:
Distance to the lowest polymorph of the same formula in meV per atom: 1531
E in eV/atom: -3.47
Spin magnetization in μB per atom: 0.0000
Formation energy in eV per atom: 1.5556

a b c (Å): 4.7033 4.7033 4.7033
angles (deg): 90.00 90.00 90.00
Last column: nearest neighbours and their distance in Å.
Sites, in units of the cell vectors:
Tl: 0.0000 0.0000 0.0000  6 Ni 2.35
Ni: 0.0000 0.0000 0.5000  2 Tl 2.35
Ni: 0.0000 0.5000 0.0000  2 Tl 2.35
Ni: 0.5000 0.0000 0.0000  2 Tl 2.35
P: 0.5000 0.5000 0.5000  12 Ni 3.33

---

(5)
Entry from Alexandria via LeMat-Bulk: a relaxed Tl3NiP crystal (PBE).

Summary:
Distance to the lowest polymorph of the same formula in meV per atom: 0
E in eV/atom: -3.23
Spin magnetization in μB per atom: 0.1263
Formation energy in eV per atom: 0.4240

a b c (Å): 5.0817 5.0817 5.0817
angles (deg): 90.00 90.00 90.00
Last column: nearest neighbours and their distance in Å.
Sites, in units of the cell vectors:
Tl: 0.0000 0.0000 0.5000  2 Ni 2.54
Tl: 0.0000 0.5000 0.0000  2 Ni 2.54
Tl: 0.5000 0.0000 0.0000  2 Ni 2.54
Ni: 0.0000 0.0000 0.0000  6 Tl 2.54
P: 0.5000 0.5000 0.5000  12 Tl 3.59

---

(6)
Entry from Alexandria via LeMat-Bulk: a relaxed Tl2NiP crystal (PBE).

Summary:
Distance to the lowest polymorph of the same formula in meV per atom: 753
E in eV/atom: -3.37
Spin magnetization in μB per atom: 0.0006
Formation energy in eV per atom: 0.6077

a b c (Å): 4.9218 4.9218 4.9218
angles (deg): 60.00 60.00 60.00
Last column: nearest neighbours and their distance in Å.
Sites, in units of the cell vectors:
Tl: 0.0000 0.0000 0.0000  4 P 3.01, 4 Tl 3.01
Tl: 0.2500 0.2500 0.2500  4 Ni 3.01, 4 Tl 3.01
Ni: 0.5000 0.5000 0.5000  4 Tl 3.01, 4 P 3.01
P: 0.7500 0.7500 0.7500  4 Ni 3.01, 4 Tl 3.01

---

(7)
Entry from Alexandria via LeMat-Bulk: a relaxed Tl2NiP crystal (PBE).

Summary:
Distance to the lowest polymorph of the same formula in meV per atom: 733
E in eV/atom: -3.39
Spin magnetization in μB per atom: 0.0000
Formation energy in eV per atom: 0.5876

a b c (Å): 6.6039 6.6039 6.6039
angles (deg): 118.93 118.93 91.87
Last column: nearest neighbours and their distance in Å.
Sites, in units of the cell vectors:
Tl: 0.1162 0.1250 0.4912  2 Ni 2.60, 2 P 2.67
Tl: 0.3750 0.8838 0.0088  2 Ni 2.60, 2 P 2.67
Tl: 0.6338 0.6250 0.5088  2 Ni 2.60, 2 P 2.67
Tl: 0.8750 0.3662 0.9912  2 Ni 2.60, 2 P 2.67
Ni: 0.0000 0.0000 0.0000  4 Tl 2.60
Ni: 0.7500 0.2500 0.5000  4 Tl 2.60
P: 0.2500 0.7500 0.5000  4 Tl 2.67
P: 0.5000 0.5000 0.0000  4 Tl 2.67

---

(8)
Entry from Alexandria via LeMat-Bulk: a relaxed Tl2NiP crystal (PBE).

Summary:
Distance to the lowest polymorph of the same formula in meV per atom: 197
E in eV/atom: -3.93
Spin magnetization in μB per atom: 0.0000
Formation energy in eV per atom: 0.0513

a b c (Å): 4.1056 4.9973 4.9973
angles (deg): 62.62 90.00 90.00
Last column: nearest neighbours and their distance in Å.
Sites, in units of the cell vectors:
Tl: 0.0000 0.0000 0.0000  3 P 2.91-2.96, 2 Ni 3.05
Tl: 0.5000 0.3501 0.3501  2 Ni 2.77
Ni: 0.5000 0.7365 0.7365  2 P 2.17
P: 0.0000 0.6539 0.6539  2 Ni 2.17

---

(9)
Entry from Alexandria via LeMat-Bulk: a relaxed Tl2NiP crystal (PBE).

Summary:
Distance to the lowest polymorph of the same formula in meV per atom: 246
E in eV/atom: -3.88
Spin magnetization in μB per atom: 0.0000
Formation energy in eV per atom: 0.1003

a b c (Å): 7.2534 7.2534 7.2534
angles (deg): 152.90 145.82 44.16
Last column: nearest neighbours and their distance in Å.
Sites, in units of the cell vectors:
Tl: 0.0000 0.0000 0.0000  4 Ni 2.92, 2 P 3.18
Tl: 0.7152 0.2152 0.5000  4 P 3.10, 2 Tl 3.40
Ni: 0.4218 0.4218 0.0000  2 P 2.14
P: 0.3247 0.8247 0.5000  2 Ni 2.14

---

(10)
Entry from Alexandria via LeMat-Bulk: a relaxed Tl2NiP crystal (PBE).

Summary:
Distance to the lowest polymorph of the same formula in meV per atom: 697
E in eV/atom: -3.43
Spin magnetization in μB per atom: 0.0000
Formation energy in eV per atom: 0.5510

a b c (Å): 3.7978 4.0425 5.4405
angles (deg): 90.00 90.00 90.00
Last column: nearest neighbours and their distance in Å.
Sites, in units of the cell vectors:
Tl: 0.0000 0.0000 0.0000  4 P 2.77
Tl: 0.0000 0.5000 0.5000  4 Ni 2.77
Ni: 0.5000 0.0000 0.5000  4 Tl 2.77
P: 0.5000 0.5000 0.0000  4 Tl 2.77

---

(11)
Entry from Alexandria via LeMat-Bulk: a relaxed Tl2NiP crystal (PBE).

Summary:
Distance to the lowest polymorph of the same formula in meV per atom: 715
E in eV/atom: -3.41
Spin magnetization in μB per atom: 0.0000
Formation energy in eV per atom: 0.5697

a b c (Å): 3.6158 3.6158 6.2021
angles (deg): 90.00 90.00 90.00
Last column: nearest neighbours and their distance in Å.
Sites, in units of the cell vectors:
Tl: 0.0000 0.0000 0.2439  4 Ni 2.97, 4 P 3.01, 2 Tl 3.03-3.18
Tl: 0.0000 0.0000 0.7561  4 Ni 2.97, 4 P 3.01, 2 Tl 3.03-3.18
Ni: 0.5000 0.5000 0.0000  8 Tl 2.97, 2 P 3.10
P: 0.5000 0.5000 0.5000  8 Tl 3.01, 2 Ni 3.10

---

(12)
Entry from Alexandria via LeMat-Bulk: a relaxed Tl2NiP crystal (PBE).

Summary:
Distance to the lowest polymorph of the same formula in meV per atom: 742
E in eV/atom: -3.38
Spin magnetization in μB per atom: 0.0000
Formation energy in eV per atom: 0.5966

a b c (Å): 4.8868 4.8868 4.8868
angles (deg): 60.00 60.00 60.00
Last column: nearest neighbours and their distance in Å.
Sites, in units of the cell vectors:
Tl: 0.2500 0.2500 0.2500  4 Ni 2.99, 4 P 2.99
Tl: 0.7500 0.7500 0.7500  4 P 2.99, 4 Ni 2.99
Ni: 0.0000 0.0000 0.0000  8 Tl 2.99
P: 0.5000 0.5000 0.5000  8 Tl 2.99

---

Repeat the fifth record exactly.
Entry from Alexandria via LeMat-Bulk: a relaxed Tl3NiP crystal (PBE).

Summary:
Distance to the lowest polymorph of the same formula in meV per atom: 0
E in eV/atom: -3.23
Spin magnetization in μB per atom: 0.1263
Formation energy in eV per atom: 0.4240

a b c (Å): 5.0817 5.0817 5.0817
angles (deg): 90.00 90.00 90.00
Last column: nearest neighbours and their distance in Å.
Sites, in units of the cell vectors:
Tl: 0.0000 0.0000 0.5000  2 Ni 2.54
Tl: 0.0000 0.5000 0.0000  2 Ni 2.54
Tl: 0.5000 0.0000 0.0000  2 Ni 2.54
Ni: 0.0000 0.0000 0.0000  6 Tl 2.54
P: 0.5000 0.5000 0.5000  12 Tl 3.59